Below is a relaxed La2Dy2Er7 crystal, with properties calculated at the GGA-PBE level.

Energy in eV per atom: -4.472
Symmetry: No. 12
Formation energy in meV per atom: 165

a = 8.0708 Å, b = 8.0708 Å, c = 6.0390 Å
α = 106.24°, β = 106.24°, γ = 91.69°
Fractional positions:
La1 0.2111 0.7889 0.0000
La2 0.7889 0.2111 0.0000
Dy1 0.4040 0.4040 0.6878
Dy2 0.5960 0.5960 0.3122
Er1 0.0000 0.0000 0.5000
Er2 0.0628 0.5919 0.3295
Er3 0.2397 0.2397 0.0814
Er4 0.4081 0.9372 0.6705
Er5 0.5919 0.0628 0.3295
Er6 0.7603 0.7603 0.9186
Er7 0.9372 0.4081 0.6705